DFT (GGA-PBE) results for a geometry-optimized InSnAsP structure.

Lattice parameters (Å, degrees): 6.7624 4.9767 6.7894 90.00 103.87 90.00
Last column: nearest neighbours and their distance in Å.
Space group Cm (No. 8)
Unique sites:
1 In 0.0000 0.0000 0.0000 x2  3 P 2.60-2.70, 1 As 2.72
2 Sn 0.4697 0.0000 0.4821 x2  1 P 2.57, 3 As 2.70
3 As 0.3813 0.5000 0.5882 x2  3 Sn 2.70, 1 In 2.72
4 P 0.3956 0.0000 0.0920 x2  1 Sn 2.57, 3 In 2.60-2.70

Output
N(E_F) = 1.8 states/eV/cell
DFT total energy = -4.23 eV/atom